The following is a DFT calculation (PBE) of a relaxed structure of La6OsAu2I3.

Values from the calculation:
Uncorrected formation energy in eV per atom: -0.909
Total magnetic moment in μB/f.u.: 0.0
N(E_F) in states/eV per atom: 0.7635
E in eV per atom: -5.242

Geometry as POSCAR:
```
La6OsAu2I3
1.0
3.7882 -6.5555 0.0000
3.7882 6.5555 0.0000
-2.5268 0.0000 8.2115
La Os Au I
6 1 2 3
direct
0.0646 0.3751 0.1937
0.2454 0.2454 0.8055
0.3751 0.0646 0.1937
0.6249 0.9354 0.8063
0.7546 0.7546 0.1945
0.9354 0.6249 0.8063
0.0000 0.0000 0.0000
0.3335 0.6665 0.0000
0.6665 0.3335 0.0000
0.1678 0.8322 0.5000
0.5000 0.5000 0.5000
0.8322 0.1678 0.5000
```